{
  "formula": "BeTl2Co",
  "functional": "GGA-PBE",
  "state": "optimized geometry",
  "ef_ev_per_atom": 0.8018,
  "n_ef_per_ev_cell": 3.4,
  "dft_energy_ev_per_cell": -12.36,
  "spacegroup": "P2/m (10)",
  "total_magnetization_mub_per_cell": 0.81,
  "lattice_angstrom": [[3.256, 0.000, 0.000], [0.000, 4.069, 0.000], [-0.248, 0.000, 5.625]],
  "species": ["Be", "Tl", "Tl", "Co"],
  "frac_coords": [[0.000, 0.000, 0.000], [0.204, 0.500, 0.749], [0.796, 0.500, 0.251], [0.500, 0.000, 0.500]]
}



{
  "formula": "BeTlCo2",
  "functional": "GGA-PBE",
  "state": "optimized geometry",
  "ef_ev_per_atom": 0.3804,
  "n_ef_per_ev_cell": 4.5,
  "dft_energy_ev_per_cell": -18.78,
  "spacegroup": "P2/m (10)",
  "total_magnetization_mub_per_cell": 1.59,
  "lattice_angstrom": [[2.817, 0.000, 0.000], [0.000, 3.435, 0.000], [-0.881, 0.000, 5.451]],
  "species": ["Be", "Tl", "Co", "Co"],
  "frac_coords": [[0.000, 0.000, 0.000], [0.000, 0.000, 0.500], [0.378, 0.500, 0.190], [0.622, 0.500, 0.810]]
}



{
  "formula": "BeTl2Co",
  "functional": "GGA-PBE",
  "state": "optimized geometry",
  "ef_ev_per_atom": 0.8204,
  "n_ef_per_ev_cell": 4.1,
  "dft_energy_ev_per_cell": -12.28,
  "spacegroup": "Cmmm (65)",
  "total_magnetization_mub_per_cell": 1.29,
  "lattice_angstrom": [[1.723, -2.697, 0.000], [1.723, 2.697, 0.000], [0.000, 0.000, 8.159]],
  "species": ["Be", "Tl", "Tl", "Co"],
  "frac_coords": [[0.000, 0.000, 0.000], [0.500, 0.500, 0.248], [0.500, 0.500, 0.752], [0.000, 0.000, 0.500]]
}



{
  "formula": "BeTl2Co",
  "functional": "GGA-PBE",
  "state": "optimized geometry",
  "ef_ev_per_atom": 0.7879,
  "n_ef_per_ev_cell": 3.6,
  "dft_energy_ev_per_cell": -12.41,
  "spacegroup": "Pmmm (47)",
  "total_magnetization_mub_per_cell": 0.97,
  "lattice_angstrom": [[3.469, 0.000, 0.000], [0.000, 4.024, 0.000], [0.000, 0.000, 5.317]],
  "species": ["Be", "Tl", "Tl", "Co"],
  "frac_coords": [[0.000, 0.000, 0.000], [0.000, 0.500, 0.500], [0.500, 0.500, 0.000], [0.500, 0.000, 0.500]]
}



{
  "formula": "BeTl2Co",
  "functional": "GGA-PBE",
  "state": "optimized geometry",
  "ef_ev_per_atom": 0.8825,
  "n_ef_per_ev_cell": 8.6,
  "dft_energy_ev_per_cell": -24.07,
  "spacegroup": "I-42d (122)",
  "total_magnetization_mub_per_cell": 2.48,
  "lattice_angstrom": [[-3.565, 3.565, 3.066], [3.565, -3.565, 3.066], [3.565, 3.565, -3.066]],
  "species": ["Be", "Be", "Tl", "Tl", "Tl", "Tl", "Co", "Co"],
  "frac_coords": [[0.000, 0.000, 0.000], [0.750, 0.250, 0.500], [0.111, 0.625, 0.986], [0.375, 0.361, 0.486], [0.639, 0.125, 0.014], [0.875, 0.889, 0.514], [0.250, 0.750, 0.500], [0.500, 0.500, 0.000]]
}



{
  "formula": "BeTlCo",
  "functional": "GGA-PBE",
  "state": "optimized geometry",
  "ef_ev_per_atom": 0.5292,
  "n_ef_per_ev_cell": 1.7,
  "dft_energy_ev_per_cell": -11.61,
  "spacegroup": "F-43m (216)",
  "total_magnetization_mub_per_cell": 0.00,
  "lattice_angstrom": [[0.000, 2.809, 2.809], [2.809, 0.000, 2.809], [2.809, 2.809, 0.000]],
  "species": ["Be", "Tl", "Co"],
  "frac_coords": [[0.000, 0.000, 0.000], [0.750, 0.750, 0.750], [0.250, 0.250, 0.250]]
}



{
  "formula": "BeTlCo",
  "functional": "GGA-PBE",
  "state": "optimized geometry",
  "ef_ev_per_atom": 0.3506,
  "n_ef_per_ev_cell": 1.2,
  "dft_energy_ev_per_cell": -12.15,
  "spacegroup": "I4mm (107)",
  "total_magnetization_mub_per_cell": 0.52,
  "lattice_angstrom": [[-1.511, 1.511, 4.690], [1.511, -1.511, 4.690], [1.511, 1.511, -4.690]],
  "species": ["Be", "Tl", "Co"],
  "frac_coords": [[0.000, 0.000, 0.000], [0.720, 0.720, 0.000], [0.428, 0.428, 0.000]]
}



{
  "formula": "BeTlCo2",
  "functional": "GGA-PBE",
  "state": "optimized geometry",
  "ef_ev_per_atom": 0.4398,
  "n_ef_per_ev_cell": 4.5,
  "dft_energy_ev_per_cell": -18.55,
  "spacegroup": "Cm (8)",
  "total_magnetization_mub_per_cell": 2.35,
  "lattice_angstrom": [[3.943, -1.427, 0.000], [3.943, 1.427, 0.000], [-0.740, 0.000, 5.026]],
  "species": ["Be", "Tl", "Co", "Co"],
  "frac_coords": [[0.000, 0.000, 0.000], [0.777, 0.777, 0.352], [0.271, 0.271, 0.864], [0.535, 0.535, 0.686]]
}



{
  "formula": "BeTlCo2",
  "functional": "GGA-PBE",
  "state": "optimized geometry",
  "ef_ev_per_atom": 0.4608,
  "n_ef_per_ev_cell": 6.3,
  "dft_energy_ev_per_cell": -18.46,
  "spacegroup": "P4/mmm (123)",
  "total_magnetization_mub_per_cell": 1.28,
  "lattice_angstrom": [[3.807, 0.000, 0.000], [0.000, 3.807, 0.000], [0.000, 0.000, 3.588]],
  "species": ["Be", "Tl", "Co", "Co"],
  "frac_coords": [[0.000, 0.000, 0.000], [0.500, 0.500, 0.000], [0.000, 0.500, 0.500], [0.500, 0.000, 0.500]]
}



{
  "formula": "BeTlCo2",
  "functional": "GGA-PBE",
  "state": "optimized geometry",
  "ef_ev_per_atom": 0.4691,
  "n_ef_per_ev_cell": 4.1,
  "dft_energy_ev_per_cell": -18.43,
  "spacegroup": "Imm2 (44)",
  "total_magnetization_mub_per_cell": 2.27,
  "lattice_angstrom": [[-1.544, 2.065, 4.135], [1.544, -2.065, 4.135], [1.544, 2.065, -4.135]],
  "species": ["Be", "Tl", "Co", "Co"],
  "frac_coords": [[0.000, 0.000, 0.000], [0.740, 0.240, 0.500], [0.202, 0.702, 0.500], [0.464, 0.464, 0.000]]
}



{
  "formula": "BeTl2Co",
  "functional": "GGA-PBE",
  "state": "optimized geometry",
  "ef_ev_per_atom": 0.9596,
  "n_ef_per_ev_cell": 5.6,
  "dft_energy_ev_per_cell": -11.73,
  "spacegroup": "F-43m (216)",
  "total_magnetization_mub_per_cell": 1.19,
  "lattice_angstrom": [[0.000, 3.373, 3.373], [3.373, 0.000, 3.373], [3.373, 3.373, 0.000]],
  "species": ["Be", "Tl", "Tl", "Co"],
  "frac_coords": [[0.000, 0.000, 0.000], [0.500, 0.500, 0.500], [0.750, 0.750, 0.750], [0.250, 0.250, 0.250]]
}



{
  "formula": "Be4TlCo",
  "functional": "GGA-PBE",
  "state": "optimized geometry",
  "ef_ev_per_atom": 0.1869,
  "n_ef_per_ev_cell": 2.0,
  "dft_energy_ev_per_cell": -23.26,
  "spacegroup": "F-43m (216)",
  "total_magnetization_mub_per_cell": 0.00,
  "lattice_angstrom": [[0.000, 3.158, 3.158], [3.158, 0.000, 3.158], [3.158, 3.158, 0.000]],
  "species": ["Be", "Be", "Be", "Be", "Tl", "Co"],
  "frac_coords": [[0.122, 0.122, 0.122], [0.122, 0.122, 0.633], [0.122, 0.633, 0.122], [0.633, 0.122, 0.122], [0.500, 0.500, 0.500], [0.750, 0.750, 0.750]]
}



{
  "formula": "BeTl2Co",
  "functional": "GGA-PBE",
  "state": "optimized geometry",
  "ef_ev_per_atom": 0.7669,
  "n_ef_per_ev_cell": 2.6,
  "dft_energy_ev_per_cell": -12.50,
  "spacegroup": "I4/mmm (139)",
  "total_magnetization_mub_per_cell": 0.01,
  "lattice_angstrom": [[-2.150, 2.150, 3.738], [2.150, -2.150, 3.738], [2.150, 2.150, -3.738]],
  "species": ["Be", "Tl", "Tl", "Co"],
  "frac_coords": [[0.000, 0.000, 0.000], [0.250, 0.750, 0.500], [0.750, 0.250, 0.500], [0.500, 0.500, 0.000]]
}



{
  "formula": "BeTlCo",
  "functional": "GGA-PBE",
  "state": "optimized geometry",
  "ef_ev_per_atom": 0.4333,
  "n_ef_per_ev_cell": 1.3,
  "dft_energy_ev_per_cell": -11.90,
  "spacegroup": "P-6m2 (187)",
  "total_magnetization_mub_per_cell": 0.00,
  "lattice_angstrom": [[3.796, 0.000, 0.000], [-1.898, 3.287, 0.000], [0.000, 0.000, 3.429]],
  "species": ["Be", "Tl", "Co"],
  "frac_coords": [[0.000, 0.000, 0.000], [0.333, 0.667, 0.500], [0.667, 0.333, 0.000]]
}



{
  "formula": "BeTlCo",
  "functional": "GGA-PBE",
  "state": "optimized geometry",
  "ef_ev_per_atom": 0.6714,
  "n_ef_per_ev_cell": 2.8,
  "dft_energy_ev_per_cell": -11.18,
  "spacegroup": "P3m1 (156)",
  "total_magnetization_mub_per_cell": 0.70,
  "lattice_angstrom": [[3.000, 0.000, 0.000], [-1.500, 2.598, 0.000], [0.000, 0.000, 6.037]],
  "species": ["Be", "Tl", "Co"],
  "frac_coords": [[0.000, 0.000, 0.000], [0.333, 0.667, 0.598], [0.667, 0.333, 0.227]]
}



{
  "formula": "BeTl2Co",
  "functional": "GGA-PBE",
  "state": "optimized geometry",
  "ef_ev_per_atom": 0.4860,
  "n_ef_per_ev_cell": 2.0,
  "dft_energy_ev_per_cell": -13.62,
  "spacegroup": "Imm2 (44)",
  "total_magnetization_mub_per_cell": 0.00,
  "lattice_angstrom": [[-1.502, 2.191, 5.754], [1.502, -2.191, 5.754], [1.502, 2.191, -5.754]],
  "species": ["Be", "Tl", "Tl", "Co"],
  "frac_coords": [[0.000, 0.000, 0.000], [0.388, 0.388, 0.000], [0.666, 0.166, 0.500], [0.136, 0.636, 0.500]]
}



{
  "formula": "BeTl2Co",
  "functional": "GGA-PBE",
  "state": "optimized geometry",
  "ef_ev_per_atom": 0.3626,
  "n_ef_per_ev_cell": 3.1,
  "dft_energy_ev_per_cell": -14.11,
  "spacegroup": "P4mm (99)",
  "total_magnetization_mub_per_cell": 0.63,
  "lattice_angstrom": [[3.086, 0.000, 0.000], [0.000, 3.086, 0.000], [0.000, 0.000, 8.062]],
  "species": ["Be", "Tl", "Tl", "Co"],
  "frac_coords": [[0.000, 0.000, 0.000], [0.000, 0.000, 0.333], [0.500, 0.500, 0.721], [0.500, 0.500, 0.069]]
}



{
  "formula": "Be3TlCo",
  "functional": "GGA-PBE",
  "state": "optimized geometry",
  "ef_ev_per_atom": 1.6309,
  "n_ef_per_ev_cell": 6.7,
  "dft_energy_ev_per_cell": -12.50,
  "spacegroup": "Pm-3m (221)",
  "total_magnetization_mub_per_cell": 1.58,
  "lattice_angstrom": [[4.457, 0.000, 0.000], [0.000, 4.457, 0.000], [0.000, 0.000, 4.457]],
  "species": ["Be", "Be", "Be", "Tl", "Co"],
  "frac_coords": [[0.000, 0.000, 0.500], [0.000, 0.500, 0.000], [0.500, 0.000, 0.000], [0.000, 0.000, 0.000], [0.500, 0.500, 0.500]]
}



{
  "formula": "BeTlCo2",
  "functional": "GGA-PBE",
  "state": "optimized geometry",
  "ef_ev_per_atom": 0.4874,
  "n_ef_per_ev_cell": 5.3,
  "dft_energy_ev_per_cell": -18.35,
  "spacegroup": "I-4m2 (119)",
  "total_magnetization_mub_per_cell": 2.46,
  "lattice_angstrom": [[-1.922, 1.922, 3.565], [1.922, -1.922, 3.565], [1.922, 1.922, -3.565]],
  "species": ["Be", "Tl", "Co", "Co"],
  "frac_coords": [[0.000, 0.000, 0.000], [0.750, 0.250, 0.500], [0.250, 0.750, 0.500], [0.500, 0.500, 0.000]]
}



{
  "formula": "BeTl4Co",
  "functional": "GGA-PBE",
  "state": "optimized geometry",
  "ef_ev_per_atom": 1.1089,
  "n_ef_per_ev_cell": 4.6,
  "dft_energy_ev_per_cell": -13.64,
  "spacegroup": "F-43m (216)",
  "total_magnetization_mub_per_cell": 1.98,
  "lattice_angstrom": [[0.000, 4.403, 4.403], [4.403, 0.000, 4.403], [4.403, 4.403, 0.000]],
  "species": ["Be", "Tl", "Tl", "Tl", "Tl", "Co"],
  "frac_coords": [[0.000, 0.000, 0.000], [0.375, 0.375, 0.375], [0.375, 0.375, 0.874], [0.375, 0.874, 0.375], [0.874, 0.375, 0.375], [0.750, 0.750, 0.750]]
}